Record 1
Compound: U2MnS5
Source: the Alexandria database
Functional: PBE
Structure: optimized geometry

Computed properties:
spin magnetization	36.1	Bohr magnetons per cell
formation energy without anion corrections	-1.068	eV per atom

Cell: 5.302 12.670 12.560 Å, 90.00 90.00 90.00°
Space group Cmcm (No. 63)
Inequivalent atoms, fractional coordinates:
U  0.000  0.149  0.063 [8 per cell]
Mn  0.000  0.198  0.750 [4 per cell]
S  0.000  0.051  0.622 [8 per cell]
S  0.000  0.257  0.250 [4 per cell]
S  0.000  0.318  0.575 [8 per cell]



Record 2
Compound: AgMoAs2
Source: the Alexandria database
Functional: PBE
Structure: optimized geometry

Computed properties:
calculated formation energy	350	meV per atom
spin magnetization	3.6	Bohr magnetons per cell

Cell: 5.958 5.958 11.161 Å, 90.00 90.00 90.00°
Space group I-42d (No. 122)
Inequivalent atoms, fractional coordinates:
Ag  0.000  0.000  0.000 [4 per cell]
Mo  0.000  0.000  0.500 [4 per cell]
As  0.221  0.250  0.625 [8 per cell]



Record 3
Compound: BaLiCuHg2
Source: the Alexandria database
Functional: PBE
Structure: optimized geometry

Computed properties:
calculated formation energy	-142	meV per atom
spin magnetization	0.0	Bohr magnetons per cell

Cell: 5.174 5.174 4.943 Å, 90.00 90.00 90.00°
Space group P4/mmm (No. 123)
Inequivalent atoms, fractional coordinates:
Ba  0.000  0.000  0.000 [1 per cell]
Li  0.500  0.500  0.500 [1 per cell]
Cu  0.500  0.500  0.000 [1 per cell]
Hg  0.000  0.500  0.500 [2 per cell]